(1)
First-principles (PBE) data for a geometry-optimized Sr2YIn3Pt4 structure, as listed in the Alexandria database.

a = 4.653 Å, b = 4.653 Å, c = 11.426 Å
α = 90.00°, β = 90.00°, γ = 90.00°
Element x y z (fractional)
1 Sr 0.000 0.500 0.223
2 Sr 0.500 0.000 0.777
3 Y 0.000 0.000 0.500
4 In 0.000 0.500 0.878
5 In 0.500 0.000 0.122
6 In 0.500 0.500 0.500
7 Pt 0.000 0.000 0.000
8 Pt 0.000 0.500 0.642
9 Pt 0.500 0.000 0.358
10 Pt 0.500 0.500 0.000

Summary:
Energy of formation in eV/atom: -0.76
Uncorrected energy in eV per atom: -4.984



(2)
First-principles (PBE) data for a geometry-optimized Sr2Zn2InPt5 structure, as listed in the Alexandria database.

a = 9.993 Å, b = 9.993 Å, c = 3.830 Å
α = 90.00°, β = 90.00°, γ = 90.00°
Element x y z (fractional)
1 Sr 0.178 0.322 0.000
2 Sr 0.322 0.822 0.000
3 Sr 0.678 0.178 0.000
4 Sr 0.822 0.678 0.000
5 Zn 0.121 0.621 0.000
6 Zn 0.379 0.121 0.000
7 Zn 0.621 0.879 0.000
8 Zn 0.879 0.379 0.000
9 In 0.000 0.000 0.000
10 In 0.500 0.500 0.000
11 Pt 0.000 0.500 0.500
12 Pt 0.063 0.790 0.500
13 Pt 0.210 0.063 0.500
14 Pt 0.290 0.563 0.500
15 Pt 0.437 0.290 0.500
16 Pt 0.500 0.000 0.500
17 Pt 0.563 0.710 0.500
18 Pt 0.710 0.437 0.500
19 Pt 0.790 0.937 0.500
20 Pt 0.937 0.210 0.500

Summary:
Energy of formation in eV/atom: -0.65
Uncorrected energy in eV per atom: -4.532



(3)
First-principles (PBE) data for a geometry-optimized Sr2ZnIn6Pt structure, as listed in the Alexandria database.

a = 6.007 Å, b = 7.328 Å, c = 7.368 Å
α = 89.04°, β = 66.26°, γ = 66.29°
Element x y z (fractional)
1 Sr 0.249 0.240 0.258
2 Sr 0.751 0.760 0.742
3 Zn 0.500 0.500 0.500
4 In 0.188 0.300 0.820
5 In 0.253 0.910 0.588
6 In 0.305 0.705 0.178
7 In 0.695 0.295 0.822
8 In 0.747 0.090 0.412
9 In 0.812 0.700 0.180
10 Pt 0.000 0.000 0.000

Summary:
Energy of formation in eV/atom: -0.29
Uncorrected energy in eV per atom: -2.998



(4)
First-principles (PBE) data for a geometry-optimized SrZn2InPt structure, as listed in the Alexandria database.

a = 4.940 Å, b = 4.940 Å, c = 5.178 Å
α = 90.00°, β = 90.00°, γ = 90.00°
Element x y z (fractional)
1 Sr 0.000 0.000 0.000
2 Zn 0.000 0.500 0.500
3 Zn 0.500 0.000 0.500
4 In 0.500 0.500 0.000
5 Pt 0.500 0.500 0.500

Summary:
Energy of formation in eV/atom: -0.35
Uncorrected energy in eV per atom: -2.957